Material: BaHfOs
Method: DFT, PBE
State: optimized geometry

Structure (CIF):
```
data_BaHfOs
_chemical_formula_sum 'Ba4 Hf4 Os4'
_space_group_name_H-M_alt 'F -4 3 m'
_space_group_IT_number 216
_space_group_name_Hall 'F -4 2 3'
_cell_length_a 6.859
_cell_length_b 6.859
_cell_length_c 6.859
_cell_angle_alpha 90.00
_cell_angle_beta 90.00
_cell_angle_gamma 90.00
loop_
_atom_site_label
_atom_site_fract_x
_atom_site_fract_y
_atom_site_fract_z
Ba1 0.000 0.000 0.000
Hf1 0.000 0.000 0.500
Os1 0.250 0.250 0.250
```

## Properties
For the energy above the lowest structure with this stoichiometry, the calculation gives 0.000 eV per atom.


Material: Li2PdPt3
Method: DFT, PBE
State: optimized geometry

Structure (CIF):
```
data_Li2PdPt3
_chemical_formula_sum 'Li2 Pd1 Pt3'
_space_group_name_H-M_alt 'P -3 m 1'
_space_group_IT_number 164
_space_group_name_Hall '-P 3 2"'
_cell_length_a 2.7411
_cell_length_b 2.7411
_cell_length_c 13.2931
_cell_angle_alpha 90.00
_cell_angle_beta 90.00
_cell_angle_gamma 120.00
loop_
_atom_site_label
_atom_site_fract_x
_atom_site_fract_y
_atom_site_fract_z
Li1 0.3333 0.6667 0.1612
Pd1 0.0000 0.0000 0.5000
Pt1 0.0000 0.0000 0.0000
Pt2 0.3333 0.6667 0.6808
```

## Properties
For the total energy, the calculation gives -4.941 eV per atom.


Material: Ta2Nb
Method: DFT, PBE
State: optimized geometry

Structure (CIF):
```
data_Ta2Nb
_chemical_formula_sum 'Ta8 Nb4'
_space_group_name_H-M_alt 'P 63/m m c'
_space_group_IT_number 194
_space_group_name_Hall '-P 6c 2c'
_cell_length_a 5.4874
_cell_length_b 5.4874
_cell_length_c 8.7391
_cell_angle_alpha 90.00
_cell_angle_beta 90.00
_cell_angle_gamma 120.00
loop_
_atom_site_label
_atom_site_fract_x
_atom_site_fract_y
_atom_site_fract_z
Ta1 0.0000 0.0000 0.0000
Ta2 0.1704 0.3408 0.2500
Nb1 0.3333 0.6667 0.5617
```

## Properties
For the energy above the lowest structure with this stoichiometry, the calculation gives 0.135 eV per atom. The calculation puts the formation energy at 0.13 eV/atom.


Material: SnOsPt2
Method: DFT, PBE
State: optimized geometry

Structure (CIF):
```
data_SnOsPt2
_chemical_formula_sum 'Sn4 Os4 Pt8'
_space_group_name_H-M_alt 'F -4 3 m'
_space_group_IT_number 216
_space_group_name_Hall 'F -4 2 3'
_cell_length_a 6.429
_cell_length_b 6.429
_cell_length_c 6.429
_cell_angle_alpha 90.00
_cell_angle_beta 90.00
_cell_angle_gamma 90.00
loop_
_atom_site_label
_atom_site_fract_x
_atom_site_fract_y
_atom_site_fract_z
Sn1 0.000 0.000 0.000
Os1 0.250 0.250 0.250
Pt1 0.000 0.000 0.500
Pt2 0.250 0.250 0.750
```

## Properties
For the total energy, the calculation gives -6.608 eV per atom.